This record from Alexandria describes a crystal of TiHgTe3 relaxed with PBEsol. The functional is meta-GGA SCAN.

Geometry as CIF:
```
data_TiHgTe3
_chemical_formula_sum 'Ti1 Hg1 Te3'
_cell_length_a 5.2795
_cell_length_b 5.2795
_cell_length_c 5.2795
_cell_angle_alpha 90.00
_cell_angle_beta 90.00
_cell_angle_gamma 90.00
_symmetry_space_group_name_H-M 'P m -3 m'
_symmetry_Int_Tables_number 221
_symmetry_space_group_name_Hall '-P 4 2 3'
loop_
_atom_site_label
_atom_site_type_symbol
_atom_site_fract_x
_atom_site_fract_y
_atom_site_fract_z
_atom_site_occupancy
Ti1 Ti 0.0000 0.0000 0.0000 1
Hg1 Hg 0.5000 0.5000 0.5000 1
Te1 Te 0.0000 0.0000 0.5000 1
```

Results
Uncorrected formation energy in eV/atom: -0.087
Fermi-level density of states in states/eV/cell: 5.17
Total moment in μB per formula unit: 0.00